Record 1
The following is a DFT calculation (GGA-PBE) of a geometry-optimized HoAuSe2 structure.

Cell: 4.2703 4.2703 23.3618 Å, 90.00 90.00 120.00°
Last column: nearest neighbours and their distance in Å.
Space group P3_221 (No. 154)
Symmetry-distinct sites (fractional):
Ho  0.0000  0.6709  0.3333 (multiplicity 3)  6 Se 2.87
Au  0.0000  0.6646  0.8333 (multiplicity 3)  2 Se 2.43
Se  0.0042  0.6667  0.7293 (multiplicity 6)  1 Au 2.43

Values from the calculation:
* total energy: -19.3 eV/f.u.

Record 2
The following is a DFT calculation (GGA-PBE) of a geometry-optimized CsNaTi2Tc structure.

Cell: 5.1825 5.1825 5.6467 Å, 90.00 90.00 90.00°
Last column: nearest neighbours and their distance in Å.
Space group P4/mmm (No. 123)
Symmetry-distinct sites (fractional):
Cs  0.0000  0.0000  0.0000 (multiplicity 1)  2 Na 2.82
Na  0.0000  0.0000  0.5000 (multiplicity 1)  4 Ti 2.59, 2 Cs 2.82
Ti  0.0000  0.5000  0.5000 (multiplicity 2)  2 Na 2.59
Tc  0.5000  0.5000  0.0000 (multiplicity 1)  4 Cs 3.66, 8 Ti 3.83

Values from the calculation:
* total energy: -16.3 eV/f.u.

Record 3
The following is a DFT calculation (GGA-PBE) of a geometry-optimized ZrCrMo2 structure.

Cell: 3.7350 3.7350 4.7580 Å, 90.00 90.00 90.00°
Last column: nearest neighbours and their distance in Å.
Space group P4/mmm (No. 123)
Symmetry-distinct sites (fractional):
Zr  0.0000  0.0000  0.0000 (multiplicity 1)  4 Cr 2.64
Cr  0.5000  0.5000  0.0000 (multiplicity 1)  4 Zr 2.64
Mo  0.0000  0.5000  0.5000 (multiplicity 2)  4 Mo 2.64

Values from the calculation:
* total energy: -38.6 eV/f.u.

Record 4
The following is a DFT calculation (GGA-PBE) of a geometry-optimized Mg2BeSn2 structure.

Cell: 6.8426 6.8426 4.7603 Å, 90.00 90.00 90.00°
Last column: nearest neighbours and their distance in Å.
Space group P4/mbm (No. 127)
Symmetry-distinct sites (fractional):
Mg  0.1647  0.3353  0.0000 (multiplicity 4)  6 Sn 2.95-3.23, 1 Mg 3.19
Be  0.0000  0.0000  0.5000 (multiplicity 2)  4 Sn 2.59
Sn  0.1549  0.6549  0.5000 (multiplicity 4)  2 Be 2.59

Values from the calculation:
* total energy: -14.1 eV/f.u.

Record 5
The following is a DFT calculation (GGA-PBE) of a geometry-optimized GaSeN2 structure.

Cell: 4.5786 4.5786 10.5690 Å, 90.00 90.00 90.00°
Last column: nearest neighbours and their distance in Å.
Space group I-42d (No. 122)
Symmetry-distinct sites (fractional):
Ga  0.0000  0.0000  0.0000 (multiplicity 4)  4 N 2.02
Se  0.0000  0.0000  0.5000 (multiplicity 4)  4 N 2.16
N  0.2218  0.2500  0.1250 (multiplicity 8)  2 Ga 2.02, 2 Se 2.16

Values from the calculation:
* total energy: -20.0 eV/f.u.

Record 6
The following is a DFT calculation (GGA-PBE) of a geometry-optimized YHgW2 structure.

Cell: 3.3503 4.9058 9.7061 Å, 90.00 90.00 90.00°
Last column: nearest neighbours and their distance in Å.
Space group Cmm2 (No. 35)
Symmetry-distinct sites (fractional):
Y  0.0000  0.0000  0.0000 (multiplicity 2)  4 Y 2.97, 2 W 3.03, 2 Hg 3.19
Hg  0.0000  0.5000  0.7201 (multiplicity 2)  4 Hg 2.97, 2 W 3.00, 2 Y 3.19
W  0.0000  0.0000  0.4633 (multiplicity 2)  2 W 2.59
W  0.0000  0.5000  0.2604 (multiplicity 2)  2 W 2.59

Values from the calculation:
* total energy: -31.0 eV/f.u.

Record 7
The following is a DFT calculation (GGA-PBE) of a geometry-optimized Sm2Ho3Ga4 structure.

Cell: 7.9487 7.9757 7.5074 Å, 90.00 106.64 90.00°
Last column: nearest neighbours and their distance in Å.
Space group P2_1/c (No. 14)
Symmetry-distinct sites (fractional):
Sm  0.1907  0.1826  0.0741 (multiplicity 4)  6 Ga 3.09-3.44
Ho  0.2398  0.6749  0.2511 (multiplicity 4)  6 Ga 2.92-3.07
Ho  0.5000  0.0000  0.5000 (multiplicity 2)  6 Ga 3.02-3.20
Ga  0.0808  0.5296  0.8660 (multiplicity 4)  1 Ga 2.72, 3 Ho 2.92-3.03
Ga  0.4924  0.1215  0.8784 (multiplicity 4)  1 Ga 2.64

Values from the calculation:
* total energy: -40.5 eV/f.u.

Record 8
The following is a DFT calculation (GGA-PBE) of a geometry-optimized BeNbFe2 structure.

Cell: 3.8850 3.8850 3.1518 Å, 90.00 90.00 90.00°
Last column: nearest neighbours and their distance in Å.
Space group P4/mmm (No. 123)
Symmetry-distinct sites (fractional):
Be  0.0000  0.0000  0.0000 (multiplicity 1)  8 Fe 2.50, 4 Nb 2.75
Nb  0.5000  0.5000  0.0000 (multiplicity 1)  8 Fe 2.50, 4 Be 2.75
Fe  0.0000  0.5000  0.5000 (multiplicity 2)  4 Nb 2.50, 4 Be 2.50, 4 Fe 2.75

Values from the calculation:
* total energy: -30.9 eV/f.u.

Record 9
The following is a DFT calculation (GGA-PBE) of a geometry-optimized Np2Tl2Te5 structure.

Cell: 17.6880 7.7490 8.0500 Å, 90.00 90.00 90.00°
Last column: nearest neighbours and their distance in Å.
Space group Cmce (No. 64)
Symmetry-distinct sites (fractional):
Np  0.0000  0.1142  0.1006 (multiplicity 8)  1 Np 2.40
Tl  0.2150  0.0000  0.5000 (multiplicity 8)  6 Te 3.37-3.50
Te  0.0000  0.0000  0.5000 (multiplicity 4)  4 Np 3.10-3.33
Te  0.1200  0.1706  0.8240 (multiplicity 16)  3 Np 3.11-3.24, 2 Tl 3.37

Values from the calculation:
* total energy: -49.8 eV/f.u.

Record 10
The following is a DFT calculation (GGA-PBE) of a geometry-optimized NiAg7 structure.

Cell: 8.1825 8.1825 8.1825 Å, 90.00 90.00 90.00°
Last column: nearest neighbours and their distance in Å.
Space group Fm-3m (No. 225)
Symmetry-distinct sites (fractional):
Ni  0.0000  0.0000  0.0000 (multiplicity 4)  12 Ag 2.89
Ag  0.0000  0.0000  0.5000 (multiplicity 4)  12 Ag 2.89
Ag  0.0000  0.2500  0.2500 (multiplicity 24)  2 Ni 2.89, 10 Ag 2.89

Values from the calculation:
* total energy: -24.7 eV/f.u.

Record 11
The following is a DFT calculation (GGA-PBE) of a geometry-optimized MgCo2Tc structure.

Cell: 5.5835 6.8547 2.6815 Å, 90.00 90.00 90.00°
Last column: nearest neighbours and their distance in Å.
Space group Cmmm (No. 65)
Symmetry-distinct sites (fractional):
Mg  0.0000  0.0000  0.0000 (multiplicity 2)  8 Co 2.59, 2 Mg 2.68, 2 Tc 2.79
Co  0.2500  0.2500  0.5000 (multiplicity 4)  4 Tc 2.59, 4 Mg 2.59, 4 Co 2.68-2.79
Tc  0.0000  0.5000  0.0000 (multiplicity 2)  8 Co 2.59, 2 Tc 2.68, 2 Mg 2.79

Values from the calculation:
* total energy: -25.4 eV/f.u.

Record 12
The following is a DFT calculation (GGA-PBE) of a geometry-optimized KY2Tc structure.

Cell: 3.5948 3.7185 21.0355 Å, 90.00 90.00 90.00°
Last column: nearest neighbours and their distance in Å.
Space group Imm2 (No. 44)
Symmetry-distinct sites (fractional):
K  0.0000  0.0000  0.0000 (multiplicity 2)  4 K 3.59-3.72
Y  0.0000  0.0000  0.6647 (multiplicity 2)  2 Tc 2.69
Y  0.0000  0.5000  0.3168 (multiplicity 2)  4 Tc 2.88
Tc  0.0000  0.5000  0.7568 (multiplicity 2)  6 Y 2.69-2.88

Values from the calculation:
* total energy: -22.9 eV/f.u.

Record 13
The following is a DFT calculation (GGA-PBE) of a geometry-optimized NbAuBr2 structure.

Cell: 3.2319 3.2319 32.3973 Å, 90.00 90.00 120.00°
Last column: nearest neighbours and their distance in Å.
Space group R-3m (No. 166, hexagonal axes)
Symmetry-distinct sites (fractional):
Nb  0.0000  0.0000  0.0000 (multiplicity 3)  6 Br 2.67
Au  0.0000  0.0000  0.5000 (multiplicity 3)  6 Au 3.23, 2 Br 3.48
Br  0.0000  0.0000  0.3924 (multiplicity 6)  3 Nb 2.67

Values from the calculation:
* total energy: -17.4 eV/f.u.

Record 14
The following is a DFT calculation (GGA-PBE) of a geometry-optimized PuNpFeTc structure.

Cell: 6.6725 6.6725 6.6725 Å, 90.00 90.00 90.00°
Last column: nearest neighbours and their distance in Å.
Space group F-43m (No. 216)
Symmetry-distinct sites (fractional):
Pu  0.0000  0.0000  0.0000 (multiplicity 4)  4 Tc 2.89, 4 Fe 2.89
Np  0.0000  0.0000  0.5000 (multiplicity 4)  4 Fe 2.89, 4 Tc 2.89
Fe  0.2500  0.2500  0.2500 (multiplicity 4)  4 Np 2.89, 4 Pu 2.89
Tc  0.2500  0.2500  0.7500 (multiplicity 4)  4 Np 2.89, 4 Pu 2.89

Values from the calculation:
* total energy: -45.4 eV/f.u.

Record 15
The following is a DFT calculation (GGA-PBE) of a geometry-optimized ZrBe3Ru structure.

Cell: 4.3758 4.3758 4.3758 Å, 90.00 90.00 90.00°
Last column: nearest neighbours and their distance in Å.
Space group Pm-3m (No. 221)
Symmetry-distinct sites (fractional):
Zr  0.0000  0.0000  0.0000 (multiplicity 1)  6 Be 2.19
Be  0.0000  0.0000  0.5000 (multiplicity 3)  2 Zr 2.19
Ru  0.5000  0.5000  0.5000 (multiplicity 1)  12 Be 3.09

Values from the calculation:
* total energy: -18.9 eV/f.u.

Record 16
The following is a DFT calculation (GGA-PBE) of a geometry-optimized Cu2GeI structure.

Cell: 6.7106 6.7106 6.7106 Å, 90.00 90.00 90.00°
Last column: nearest neighbours and their distance in Å.
Space group Fm-3m (No. 225)
Symmetry-distinct sites (fractional):
Cu  0.2500  0.2500  0.2500 (multiplicity 8)  4 Ge 2.91, 4 I 2.91
Ge  0.0000  0.0000  0.0000 (multiplicity 4)  8 Cu 2.91
I  0.0000  0.0000  0.5000 (multiplicity 4)  8 Cu 2.91

Values from the calculation:
* total energy: -11.6 eV/f.u.

Record 17
The following is a DFT calculation (GGA-PBE) of a geometry-optimized Y2TcW structure.

Cell: 3.4397 4.7841 10.0369 Å, 90.00 90.00 90.00°
Last column: nearest neighbours and their distance in Å.
Space group Immm (No. 71)
Symmetry-distinct sites (fractional):
Y  0.0000  0.0000  0.2217 (multiplicity 4)  2 Tc 2.81, 4 Y 3.00
Tc  0.0000  0.5000  0.5000 (multiplicity 2)  4 Y 2.81, 4 W 2.95
W  0.0000  0.5000  0.0000 (multiplicity 2)  4 Tc 2.95, 8 Y 3.27-3.28

Values from the calculation:
* total energy: -34.1 eV/f.u.

Record 18
The following is a DFT calculation (GGA-PBE) of a geometry-optimized ScUGaRu structure.

Cell: 6.6147 6.6147 6.6147 Å, 90.00 90.00 90.00°
Last column: nearest neighbours and their distance in Å.
Space group F-43m (No. 216)
Symmetry-distinct sites (fractional):
Sc  0.0000  0.0000  0.0000 (multiplicity 4)  4 U 2.86, 4 Ga 2.86
U  0.2500  0.2500  0.2500 (multiplicity 4)  4 Ru 2.86, 4 Sc 2.86
Ga  0.2500  0.2500  0.7500 (multiplicity 4)  4 Ru 2.86, 4 Sc 2.86
Ru  0.0000  0.0000  0.5000 (multiplicity 4)  4 Ga 2.86, 4 U 2.86

Values from the calculation:
* total energy: -30.8 eV/f.u.

Record 19
The following is a DFT calculation (GGA-PBE) of a geometry-optimized GdScPdPt structure.

Cell: 6.8579 6.8579 6.8579 Å, 90.00 90.00 90.00°
Last column: nearest neighbours and their distance in Å.
Space group F-43m (No. 216)
Symmetry-distinct sites (fractional):
Gd  0.0000  0.0000  0.0000 (multiplicity 4)  4 Pt 2.97, 4 Pd 2.97
Sc  0.0000  0.0000  0.5000 (multiplicity 4)  4 Pd 2.97, 4 Pt 2.97
Pd  0.2500  0.2500  0.7500 (multiplicity 4)  4 Gd 2.97, 4 Sc 2.97
Pt  0.2500  0.2500  0.2500 (multiplicity 4)  4 Sc 2.97, 4 Gd 2.97

Values from the calculation:
* total energy: -35.6 eV/f.u.

Record 20
The following is a DFT calculation (GGA-PBE) of a geometry-optimized KCuB2H8 structure.

Cell: 4.5338 4.5338 19.7305 Å, 90.00 90.00 120.00°
Last column: nearest neighbours and their distance in Å.
Space group R-3 (No. 148, hexagonal axes)
Symmetry-distinct sites (fractional):
K  0.0000  0.0000  0.0000 (multiplicity 3)  6 H 2.68
Cu  0.0000  0.0000  0.5000 (multiplicity 3)  6 H 1.84
B  0.0000  0.0000  0.2424 (multiplicity 6)  4 H 1.22-1.25
H  0.0000  0.0000  0.3044 (multiplicity 6)  1 B 1.22
H  0.0399  0.5716  0.8882 (multiplicity 18)  1 B 1.25

Values from the calculation:
* total energy: -47.0 eV/f.u.

Record 21
The following is a DFT calculation (GGA-PBE) of a geometry-optimized TaCr2Si structure.

Cell: 3.1664 4.3803 7.9158 Å, 90.00 90.00 90.00°
Last column: nearest neighbours and their distance in Å.
Space group Cmm2 (No. 35)
Symmetry-distinct sites (fractional):
Ta  0.0000  0.0000  0.0000 (multiplicity 2)  2 Si 2.64, 2 Cr 2.68, 4 Ta 2.70
Cr  0.0000  0.0000  0.5046 (multiplicity 2)  2 Si 2.40, 2 Cr 2.42
Cr  0.0000  0.5000  0.2738 (multiplicity 2)  6 Cr 2.42-2.70, 2 Ta 2.68
Si  0.0000  0.5000  0.7329 (multiplicity 2)  2 Cr 2.40, 2 Ta 2.64

Values from the calculation:
* total energy: -36.4 eV/f.u.

Record 22
The following is a DFT calculation (GGA-PBE) of a geometry-optimized TbY4Os2 structure.

Cell: 7.8289 6.3184 7.9664 Å, 90.00 112.36 90.00°
Last column: nearest neighbours and their distance in Å.
Space group P2_1/m (No. 11)
Symmetry-distinct sites (fractional):
Tb  0.0278  0.2500  0.1606 (multiplicity 2)  1 Os 2.85
Y  0.2395  0.5011  0.5817 (multiplicity 4)  4 Os 2.95-3.07, 2 Y 3.14-3.17
Y  0.3254  0.7500  0.2500 (multiplicity 2)  2 Os 2.76-2.91
Y  0.3796  0.2500  0.0205 (multiplicity 2)  2 Os 2.74-2.81
Os  0.0248  0.2500  0.7454 (multiplicity 2)  6 Y 2.76-3.07
Os  0.4130  0.2500  0.3753 (multiplicity 2)  6 Y 2.74-3.05, 1 Tb 2.85

Values from the calculation:
* total energy: -53.9 eV/f.u.

Record 23
The following is a DFT calculation (GGA-PBE) of a geometry-optimized TbZn2Pt8 structure.

Cell: 5.2843 5.2843 8.2043 Å, 90.00 90.00 90.00°
Last column: nearest neighbours and their distance in Å.
Space group P4/mmm (No. 123)
Symmetry-distinct sites (fractional):
Tb  0.0000  0.0000  0.0000 (multiplicity 1)  8 Pt 2.91
Zn  0.0000  0.5000  0.5000 (multiplicity 2)  8 Pt 2.66
Pt  0.2531  0.2531  0.2697 (multiplicity 8)  4 Pt 2.61-2.67, 2 Zn 2.66, 1 Tb 2.91

Values from the calculation:
* total energy: -57.0 eV/f.u.

Record 24
The following is a DFT calculation (GGA-PBE) of a geometry-optimized Hf6Al3Fe structure.

Cell: 5.4512 7.8097 10.7300 Å, 90.00 118.79 90.00°
Last column: nearest neighbours and their distance in Å.
Space group P2_1/c (No. 14)
Symmetry-distinct sites (fractional):
Hf  0.0573  0.1653  0.4526 (multiplicity 4)  1 Fe 2.56, 1 Al 2.71
Hf  0.3584  0.6867  0.4446 (multiplicity 4)  1 Fe 2.55, 1 Al 2.72
Hf  0.4186  0.0524  0.2653 (multiplicity 4)  1 Fe 2.37
Al  0.0000  0.0000  0.0000 (multiplicity 2)  6 Hf 2.69-2.72
Al  0.1233  0.1088  0.7565 (multiplicity 4)  9 Hf 2.90-3.15, 1 Al 3.11
Fe  0.5000  0.0000  0.5000 (multiplicity 2)  6 Hf 2.37-2.56

Values from the calculation:
* total energy: -80.5 eV/f.u.